No. 1
Sm2BeSi4Pt3, optimized geometry, DFT PBE; crystal system = tetragonal; space group = P-4m2 (115)
1.0
4.1649 0.0000 0.0000
0.0000 4.1649 0.0000
0.0000 0.0000 9.9822
Sm Be Si Pt
2 1 4 3
Direct
0.0000 0.5000 0.2464
0.5000 0.0000 0.7536
0.5000 0.5000 0.0000
0.0000 0.0000 0.5000
0.0000 0.5000 0.8693
0.5000 0.0000 0.1307
0.5000 0.5000 0.5000
0.0000 0.0000 0.0000
0.0000 0.5000 0.6249
0.5000 0.0000 0.3751

No. 2
Pd3PtSe6I2, optimized geometry, DFT PBE; crystal system = monoclinic; space group = C2/m (12)
1.0
6.9404 -3.8374 0.0000
6.9404 3.8374 0.0000
-0.7667 0.0000 5.4057
Pd Pt Se I
3 1 6 2
Direct
0.0000 0.0000 0.0000
0.0000 0.5000 0.5000
0.5000 0.0000 0.5000
0.5000 0.5000 0.5000
0.2315 0.6395 0.8126
0.3248 0.3248 0.2965
0.3605 0.7685 0.1874
0.6395 0.2315 0.8126
0.6752 0.6752 0.7035
0.7685 0.3605 0.1874
0.1591 0.1591 0.7210
0.8409 0.8409 0.2790

Result set for energy relative to the elements, uncorrected: -0.962 -0.175 eV/atom, one per record in the order listed.
Result set for DOS at the Fermi energy: 3.850 5.398 states/eV/f.u., one per record in the order listed.